Entry 1:
VASP calculation (PBE) on Na2CeTlBr6 after structural relaxation.

Properties
Raw formation energy, eV/atom: -1.52
Fermi-level density of states, states/eV/cell: 25.06

Unit cell a=7.6919 b=7.6919 c=20.9839 alpha=90.00 beta=90.00 gamma=120.00
With the nearest neighbours (Å) after each atom.
Space group R3 (No. 146, hexagonal axes)
Inequivalent atoms, fractional coordinates:
Na1 0.0000 0.0000 0.0000 x3  6 Br 2.97-3.08
Na2 0.0000 0.0000 0.4879 x3  6 Br 3.01-3.12
Ce1 0.0000 0.0000 0.6823 x3  6 Br 2.93-2.94
Tl1 0.0000 0.0000 0.1976 x3  6 Br 3.27-3.45
Br1 0.0107 0.3367 0.7515 x9  1 Ce 2.93, 2 Na 3.01-3.08
Br2 0.0223 0.6205 0.2581 x9  1 Ce 2.94, 2 Na 2.97-3.12, 1 Tl 3.27



Entry 2:
VASP calculation (PBE) on CeNdBr5 after structural relaxation.

Properties
Raw formation energy, eV/atom: -1.80
Fermi-level density of states, states/eV/cell: 9.82

Unit cell a=8.2527 b=4.1487 c=13.7772 alpha=90.00 beta=91.45 gamma=90.00
With the nearest neighbours (Å) after each atom.
Space group P2_1/m (No. 11)
Inequivalent atoms, fractional coordinates:
Ce1 0.0815 0.2500 0.1558 x2  7 Br 3.03-3.16
Nd1 0.4210 0.7500 0.3444 x2  7 Br 2.95-3.15
Br1 0.0569 0.7500 0.3167 x2  1 Nd 3.02, 2 Ce 3.05
Br2 0.1481 0.2500 0.9311 x2  3 Ce 3.03-3.16
Br3 0.3142 0.2500 0.4871 x2  3 Nd 3.01-3.15
Br4 0.3461 0.7500 0.1287 x2  1 Nd 3.02, 2 Ce 3.04
Br5 0.3511 0.7500 0.7186 x2  2 Nd 2.95



Entry 3:
VASP calculation (PBE) on CeNdBr6 after structural relaxation.

Properties
Raw formation energy, eV/atom: -1.81
Fermi-level density of states, states/eV/cell: 16.24

Unit cell a=7.2639 b=13.1286 c=7.2687 alpha=90.00 beta=106.29 gamma=90.00
With the nearest neighbours (Å) after each atom.
Space group C2/m (No. 12)
Inequivalent atoms, fractional coordinates:
Ce1 0.0000 0.0000 0.0000 x2  6 Br 2.92-2.94
Nd1 0.0000 0.5000 0.5000 x2  6 Br 2.90-2.92
Br1 0.2475 0.0000 0.7460 x4  1 Nd 2.90, 1 Ce 2.92
Br2 0.2469 0.3512 0.7501 x8  1 Nd 2.92, 1 Ce 2.94



Copy entry 2 word for word.
VASP calculation (PBE) on CeNdBr5 after structural relaxation.

Properties
Raw formation energy, eV/atom: -1.80
Fermi-level density of states, states/eV/cell: 9.82

Unit cell a=8.2527 b=4.1487 c=13.7772 alpha=90.00 beta=91.45 gamma=90.00
With the nearest neighbours (Å) after each atom.
Space group P2_1/m (No. 11)
Inequivalent atoms, fractional coordinates:
Ce1 0.0815 0.2500 0.1558 x2  7 Br 3.03-3.16
Nd1 0.4210 0.7500 0.3444 x2  7 Br 2.95-3.15
Br1 0.0569 0.7500 0.3167 x2  1 Nd 3.02, 2 Ce 3.05
Br2 0.1481 0.2500 0.9311 x2  3 Ce 3.03-3.16
Br3 0.3142 0.2500 0.4871 x2  3 Nd 3.01-3.15
Br4 0.3461 0.7500 0.1287 x2  1 Nd 3.02, 2 Ce 3.04
Br5 0.3511 0.7500 0.7186 x2  2 Nd 2.95